A plane-wave DFT calculation with PBE with a Hubbard U was carried out for a geometry-optimized NaFeF3 structure.

Lattice parameters (Å, degrees): 3.1616 10.3767 7.5208 90.00 90.00 90.00
Last column: nearest neighbours and their distance in Å.
Space group Cmcm (No. 63)
One atom of each set of equivalent atoms:
Na  0.0000  0.2487  0.2500  6 F 2.34-2.48
Fe  0.0000  0.5000  0.0000  6 F 2.07-2.13
F  0.0000  0.1302  0.5588  2 Fe 2.13
F  0.0000  0.4177  0.7500  2 Fe 2.07

Summary:
Raw total energy = -5.091 eV per atom